Entry 1:
Below is an optimized crystal structure of Sr3Cd, with properties calculated at the GGA-PBE level.

```
data_Sr3Cd
_chemical_formula_sum 'Sr9 Cd3'
_cell_length_a 12.269
_cell_length_b 12.269
_cell_length_c 4.050
_cell_angle_alpha 90.00
_cell_angle_beta 90.00
_cell_angle_gamma 120.00
_space_group_name_H-M_alt 'P 1'
_space_group_IT_number 1
loop_
_space_group_symop_operation_xyz
'x,y,z'
loop_
_atom_site_label
_atom_site_type_symbol
_atom_site_fract_x
_atom_site_fract_y
_atom_site_fract_z
Sr1 Sr 0.000 0.500 0.000
Sr2 Sr 0.167 0.333 0.333
Sr3 Sr 0.167 0.833 0.333
Sr4 Sr 0.333 0.167 0.667
Sr5 Sr 0.500 0.000 0.000
Sr6 Sr 0.500 0.500 0.000
Sr7 Sr 0.667 0.833 0.333
Sr8 Sr 0.833 0.167 0.667
Sr9 Sr 0.833 0.667 0.667
Cd1 Cd 0.000 0.000 0.000
Cd2 Cd 0.333 0.667 0.667
Cd3 Cd 0.667 0.333 0.333
```

Summary:
Formation energy from the elements: 0.0 eV per formula unit
Energy above the lowest structure with this stoichiometry: 179.6 meV per atom
Space group: No. 166
N(E_F): 2.6 states/eV/f.u.


Entry 2:
Below is an optimized crystal structure of Sr3Cd, with properties calculated at the GGA-PBE level.

```
data_Sr3Cd
_chemical_formula_sum 'Sr3 Cd1'
_cell_length_a 4.120
_cell_length_b 4.282
_cell_length_c 11.005
_cell_angle_alpha 90.00
_cell_angle_beta 90.00
_cell_angle_gamma 90.00
_space_group_name_H-M_alt 'P 1'
_space_group_IT_number 1
loop_
_space_group_symop_operation_xyz
'x,y,z'
loop_
_atom_site_label
_atom_site_type_symbol
_atom_site_fract_x
_atom_site_fract_y
_atom_site_fract_z
Sr1 Sr 0.000 0.000 0.000
Sr2 Sr 0.000 0.500 0.332
Sr3 Sr 0.500 0.500 0.712
Cd1 Cd 0.500 0.000 0.475
```

Summary:
Formation energy from the elements: -0.1 eV per formula unit
Energy above the lowest structure with this stoichiometry: 147.2 meV per atom
Space group: No. 25
N(E_F): 4.2 states/eV/f.u.


Entry 3:
Below is an optimized crystal structure of Sr2TaCd, with properties calculated at the GGA-PBE level.

```
data_Sr2TaCd
_chemical_formula_sum 'Sr8 Ta4 Cd4'
_cell_length_a 7.801
_cell_length_b 7.801
_cell_length_c 7.801
_cell_angle_alpha 90.00
_cell_angle_beta 90.00
_cell_angle_gamma 90.00
_space_group_name_H-M_alt 'P 1'
_space_group_IT_number 1
loop_
_space_group_symop_operation_xyz
'x,y,z'
loop_
_atom_site_label
_atom_site_type_symbol
_atom_site_fract_x
_atom_site_fract_y
_atom_site_fract_z
Sr1 Sr 0.000 0.000 0.000
Sr2 Sr 0.000 0.500 0.500
Sr3 Sr 0.250 0.250 0.250
Sr4 Sr 0.250 0.750 0.750
Sr5 Sr 0.500 0.000 0.500
Sr6 Sr 0.500 0.500 0.000
Sr7 Sr 0.750 0.250 0.750
Sr8 Sr 0.750 0.750 0.250
Ta1 Ta 0.250 0.250 0.750
Ta2 Ta 0.250 0.750 0.250
Ta3 Ta 0.750 0.250 0.250
Ta4 Ta 0.750 0.750 0.750
Cd1 Cd 0.000 0.000 0.500
Cd2 Cd 0.000 0.500 0.000
Cd3 Cd 0.500 0.000 0.000
Cd4 Cd 0.500 0.500 0.500
```

Summary:
Formation energy from the elements: 3.2 eV per formula unit
Space group: No. 216
N(E_F): 3.2 states/eV/f.u.